[1]
## CeAlInAu (PBE-GGA)

Data for a relaxed structure of CeAlInAu.

Output
- E_form: -396 meV per atom

a = 7.1105 Å, b = 7.1105 Å, c = 7.1105 Å
α = 90.00°, β = 90.00°, γ = 90.00°
Last column: nearest neighbours and their distance in Å.
Space group F-43m (No. 216)
Inequivalent atoms, fractional coordinates:
Ce  0.0000  0.0000  0.0000 [4 per cell]  4 Al 3.08, 4 Au 3.08
Al  0.2500  0.2500  0.7500 [4 per cell]  4 In 3.08, 4 Ce 3.08
In  0.0000  0.0000  0.5000 [4 per cell]  4 Au 3.08, 4 Al 3.08
Au  0.2500  0.2500  0.2500 [4 per cell]  4 In 3.08, 4 Ce 3.08

=====

[2]
## CeAl2InAu4 (PBE-GGA)

Data for a relaxed structure of CeAl2InAu4.

Output
- E_form: -469 meV per atom

a = 4.4170 Å, b = 4.4170 Å, c = 29.4140 Å
α = 90.00°, β = 90.00°, γ = 120.00°
Last column: nearest neighbours and their distance in Å.
Space group R-3m (No. 166, hexagonal axes)
Inequivalent atoms, fractional coordinates:
Ce  0.0000  0.0000  0.0000 [3 per cell]  8 Au 3.10-3.44
Al  0.0000  0.0000  0.2492 [6 per cell]  6 Au 2.65-2.73
In  0.0000  0.0000  0.5000 [3 per cell]  8 Au 2.94-3.14
Au  0.0000  0.0000  0.1171 [6 per cell]  3 Al 2.73, 3 In 2.94, 3 Au 3.05
Au  0.0000  0.0000  0.3933 [6 per cell]  3 Al 2.65

=====

[3]
## CeAl4IrAu2 (PBE-GGA)

Data for a relaxed structure of CeAl4IrAu2.

Output
- E_form: -549 meV per atom

a = 4.3593 Å, b = 4.3593 Å, c = 27.4851 Å
α = 90.00°, β = 90.00°, γ = 120.00°
Last column: nearest neighbours and their distance in Å.
Space group R-3m (No. 166, hexagonal axes)
Inequivalent atoms, fractional coordinates:
Ce  0.0000  0.0000  0.0000 [3 per cell]  6 Al 3.24, 6 Au 3.35
Al  0.0000  0.0000  0.1374 [6 per cell]  3 Ir 2.64
Al  0.0000  0.0000  0.4076 [6 per cell]  3 Au 2.52, 1 Ir 2.54
Ir  0.0000  0.0000  0.5000 [3 per cell]  8 Al 2.54-2.64
Au  0.0000  0.0000  0.2528 [6 per cell]  3 Al 2.52

=====

[4]
## LiCe2Al4Au3 (PBE-GGA)

Data for a relaxed structure of LiCe2Al4Au3.

Output
- E_form: -585 meV per atom

a = 4.3541 Å, b = 4.3541 Å, c = 10.7021 Å
α = 90.00°, β = 90.00°, γ = 90.00°
Last column: nearest neighbours and their distance in Å.
Space group P-4m2 (No. 115)
Inequivalent atoms, fractional coordinates:
Li  0.0000  0.0000  0.0000 [1 per cell]  4 Al 2.60
Ce  0.0000  0.5000  0.7502 [2 per cell]  8 Al 3.32-3.45, 6 Au 3.33-3.45, 2 Li 3.45
Al  0.0000  0.0000  0.5000 [1 per cell]  4 Au 2.60
Al  0.0000  0.5000  0.1325 [2 per cell]  3 Au 2.52-2.60, 2 Li 2.60
Al  0.5000  0.5000  0.5000 [1 per cell]  4 Au 2.60
Au  0.0000  0.5000  0.3679 [2 per cell]  5 Al 2.52-2.60
Au  0.5000  0.5000  0.0000 [1 per cell]  4 Al 2.60

=====

[5]
## LiCeAlAu2 (PBE-GGA)

Data for a relaxed structure of LiCeAlAu2.

Output
- E_form: -586 meV per atom

a = 4.1254 Å, b = 4.1254 Å, c = 12.1052 Å
α = 90.00°, β = 90.00°, γ = 90.00°
Last column: nearest neighbours and their distance in Å.
Space group I-4m2 (No. 119)
Inequivalent atoms, fractional coordinates:
Li  0.0000  0.0000  0.0000 [2 per cell]  4 Au 2.62, 4 Al 2.92
Ce  0.0000  0.5000  0.2500 [2 per cell]  8 Au 3.24
Al  0.0000  0.0000  0.5000 [2 per cell]  4 Au 2.62, 4 Li 2.92
Au  0.0000  0.5000  0.6329 [4 per cell]  2 Li 2.62, 2 Al 2.62, 1 Au 2.83

=====

[6]
## LiCeAl2Au2 (PBE-GGA)

Data for a relaxed structure of LiCeAl2Au2.

Output
- E_form: -599 meV per atom

a = 4.4602 Å, b = 4.4602 Å, c = 6.8679 Å
α = 90.00°, β = 90.00°, γ = 120.00°
Last column: nearest neighbours and their distance in Å.
Space group P-3m1 (No. 164)
Inequivalent atoms, fractional coordinates:
Li  0.0000  0.0000  0.0000 [1 per cell]  6 Al 2.84, 6 Au 2.99
Ce  0.0000  0.0000  0.5000 [1 per cell]  6 Au 3.21, 6 Al 3.41, 2 Li 3.43
Al  0.3333  0.6667  0.1754 [2 per cell]  4 Au 2.59-2.72, 3 Li 2.84
Au  0.3333  0.6667  0.7797 [2 per cell]  4 Al 2.59-2.72

=====

- Look up the E_form of the sixth one.
  -599 meV per atom

=====

- The highest E_form belongs to which entry?
  CeAlInAu

=====

- Look up the E_form of the sixth one.
  -599 meV per atom

=====

- The lowest E_form belongs to which entry?
  LiCeAl2Au2